[1]
A plane-wave DFT calculation with GGA-PBE was carried out for a relaxed structure of PmCo3.

Properties
**Calculated formation energy**: 315 meV per atom
**V**: 58.9 Å³/cell

Unit cell a=3.8914 b=3.8914 c=3.8914 alpha=90.00 beta=90.00 gamma=90.00
Last column: nearest neighbours and their distance in Å.
Space group Pm-3m (No. 221)
Inequivalent atoms, fractional coordinates:
Pm1 0.0000 0.0000 0.0000 x1  12 Co 2.75
Co1 0.0000 0.5000 0.5000 x3  8 Co 2.75, 4 Pm 2.75

***

[2]
A plane-wave DFT calculation with GGA-PBE was carried out for a relaxed structure of Pm2Co.

Properties
**Energy above the lowest structure with this stoichiometry**: 0.209 eV per atom
**Calculated formation energy**: 1198 meV per atom
**V**: 629.0 Å³/cell

Unit cell a=8.5683 b=8.5683 c=8.5683 alpha=90.00 beta=90.00 gamma=90.00
Last column: nearest neighbours and their distance in Å.
Space group Fd-3m (No. 227, origin choice 2)
Inequivalent atoms, fractional coordinates:
Pm1 0.0000 0.0000 0.0000 x16  6 Pm 3.03
Co1 0.1250 0.1250 0.6250 x8  12 Pm 3.55, 4 Co 3.71

***

[3]
A plane-wave DFT calculation with GGA-PBE was carried out for a relaxed structure of PmPrCo.

Properties
**Energy above the lowest structure with this stoichiometry**: 0.000 eV per atom
**Calculated formation energy**: 730 meV per atom
**V**: 303.7 Å³/cell

Unit cell a=6.7219 b=6.7219 c=6.7219 alpha=90.00 beta=90.00 gamma=90.00
Last column: nearest neighbours and their distance in Å.
Space group F-43m (No. 216)
Inequivalent atoms, fractional coordinates:
Pm1 0.0000 0.0000 0.0000 x4  4 Pr 2.91, 4 Co 2.91
Pr1 0.2500 0.2500 0.2500 x4  4 Pm 2.91
Co1 0.2500 0.2500 0.7500 x4  4 Pm 2.91

***

[4]
A plane-wave DFT calculation with GGA-PBE was carried out for a relaxed structure of PmPuCo.

Properties
**Calculated formation energy**: 697 meV per atom
**V**: 251.8 Å³/cell

Unit cell a=6.3148 b=6.3148 c=6.3148 alpha=90.00 beta=90.00 gamma=90.00
Last column: nearest neighbours and their distance in Å.
Space group F-43m (No. 216)
Inequivalent atoms, fractional coordinates:
Pm1 0.0000 0.0000 0.0000 x4  4 Pu 2.73
Pu1 0.2500 0.2500 0.7500 x4  4 Co 2.73, 4 Pm 2.73
Co1 0.0000 0.0000 0.5000 x4  4 Pu 2.73

***

[5]
A plane-wave DFT calculation with GGA-PBE was carried out for a relaxed structure of PmPu2Co9.

Properties
**Calculated formation energy**: 87 meV per atom
**V**: 474.9 Å³/cell

Unit cell a=4.7733 b=4.7733 c=24.0666 alpha=90.00 beta=90.00 gamma=120.00
Last column: nearest neighbours and their distance in Å.
Space group R-3m (No. 166, hexagonal axes)
Inequivalent atoms, fractional coordinates:
Pm1 0.0000 0.0000 0.0000 x3  6 Co 2.76
Pu1 0.0000 0.0000 0.1459 x6  12 Co 2.80-2.85, 3 Pu 2.93
Co1 0.0000 0.0000 0.3327 x6  6 Co 2.44-2.45
Co2 0.0000 0.0000 0.5000 x3  6 Co 2.42
Co3 0.0017 0.5009 0.0839 x18  7 Co 2.37-2.45

***

[6]
A plane-wave DFT calculation with GGA-PBE was carried out for a relaxed structure of PmCoRe.

Properties
**Calculated formation energy**: 1686 meV per atom
**V**: 257.2 Å³/cell

Unit cell a=6.3591 b=6.3591 c=6.3591 alpha=90.00 beta=90.00 gamma=90.00
Last column: nearest neighbours and their distance in Å.
Space group F-43m (No. 216)
Inequivalent atoms, fractional coordinates:
Pm1 0.0000 0.0000 0.0000 x4  4 Re 2.75, 4 Co 2.75
Co1 0.2500 0.2500 0.7500 x4  4 Pm 2.75
Re1 0.2500 0.2500 0.2500 x4  4 Pm 2.75

***

What did the first record say?
A plane-wave DFT calculation with GGA-PBE was carried out for a relaxed structure of PmCo3.

Properties
**Calculated formation energy**: 315 meV per atom
**V**: 58.9 Å³/cell

Unit cell a=3.8914 b=3.8914 c=3.8914 alpha=90.00 beta=90.00 gamma=90.00
Last column: nearest neighbours and their distance in Å.
Space group Pm-3m (No. 221)
Inequivalent atoms, fractional coordinates:
Pm1 0.0000 0.0000 0.0000 x1  12 Co 2.75
Co1 0.0000 0.5000 0.5000 x3  8 Co 2.75, 4 Pm 2.75